## LaDyCuSi (PBE-GGA)

Data for LaDyCuSi after structural relaxation.

Values from the calculation:
- Calculated volume: 23.13 A^3/atom
- Formation energy (no corrections): -9.0 kcal/mol of atoms
- Size of the total moment: 0.0 μB/f.u.

abc: 5.0764 5.0764 5.0764
angles: 60.00 60.00 60.00
Closest atoms and distances in Å follow each position.
Fractional positions:
La1 0.0000 0.0000 0.0000  4 Cu 3.11, 4 Si 3.11
Dy1 0.5000 0.5000 0.5000  4 Cu 3.11, 4 Si 3.11
Cu1 0.2500 0.2500 0.2500  4 La 3.11, 4 Dy 3.11
Si1 0.7500 0.7500 0.7500  4 La 3.11, 4 Dy 3.11


## ErGaRh2 (PBE-GGA)

Data for ErGaRh2 after structural relaxation.

Values from the calculation:
- Calculated volume: 16.69 A^3/atom
- E_tot: -6.3702 eV per atom
- Size of the total moment: 0.0 μB/f.u.

abc: 3.2658 3.2658 6.2593
angles: 90.00 90.00 90.00
Closest atoms and distances in Å follow each position.
Fractional positions:
Er1 0.0000 0.0000 0.0000  8 Rh 2.89, 2 Ga 3.13
Ga1 0.0000 0.0000 0.5000  8 Rh 2.70
Rh1 0.5000 0.5000 0.2766  4 Ga 2.70, 1 Rh 2.80, 4 Er 2.89
Rh2 0.5000 0.5000 0.7234  4 Ga 2.70, 1 Rh 2.80, 4 Er 2.89


Repeat the first record exactly.
## LaDyCuSi (PBE-GGA)

Data for LaDyCuSi after structural relaxation.

Values from the calculation:
- Calculated volume: 23.13 A^3/atom
- Formation energy (no corrections): -9.0 kcal/mol of atoms
- Size of the total moment: 0.0 μB/f.u.

abc: 5.0764 5.0764 5.0764
angles: 60.00 60.00 60.00
Closest atoms and distances in Å follow each position.
Fractional positions:
La1 0.0000 0.0000 0.0000  4 Cu 3.11, 4 Si 3.11
Dy1 0.5000 0.5000 0.5000  4 Cu 3.11, 4 Si 3.11
Cu1 0.2500 0.2500 0.2500  4 La 3.11, 4 Dy 3.11
Si1 0.7500 0.7500 0.7500  4 La 3.11, 4 Dy 3.11